# 1
A plane-wave DFT calculation with PBE was carried out for Tb2Y2ThMg5 after structural relaxation.

Computed properties:
**Space group**: No. 127
**ΔE_f**: 1.3 eV/f.u.
**D(E_F)**: 17.31 states/eV per cell
**E**: -3.633 eV/atom

Cell: 5.1766 10.5617 10.5617 Å, 90.00 90.00 90.00°
Last column: nearest neighbours and their distance in Å.
Element x y z (fractional)
Y: 0.0000 0.1772 0.3228  3 Tb 3.02-3.20
Y: 0.0000 0.6772 0.1772  3 Tb 3.02-3.20
Y: 0.0000 0.8228 0.6772  3 Tb 3.02-3.20
Y: 0.0000 0.3228 0.8228  3 Tb 3.02-3.20
Th: 0.0000 0.5000 0.5000  8 Mg 3.41
Th: 0.0000 0.0000 0.0000  8 Mg 3.41
Mg: 0.5000 0.0767 0.8043  4 Mg 3.14-3.40, 2 Tb 3.27, 2 Th 3.41
Mg: 0.5000 0.0000 0.5000  4 Tb 3.15, 4 Mg 3.31
Mg: 0.5000 0.5767 0.6957  4 Mg 3.14-3.40, 2 Tb 3.27, 2 Th 3.41
Mg: 0.5000 0.1957 0.0767  4 Mg 3.14-3.40, 2 Tb 3.27, 2 Th 3.41
Mg: 0.5000 0.5000 0.0000  4 Tb 3.15, 4 Mg 3.31
Mg: 0.5000 0.3043 0.5767  4 Mg 3.14-3.40, 2 Tb 3.27, 2 Th 3.41
Mg: 0.5000 0.9233 0.1957  4 Mg 3.14-3.40, 2 Tb 3.27, 2 Th 3.41
Mg: 0.5000 0.4233 0.3043  4 Mg 3.14-3.40, 2 Tb 3.27, 2 Th 3.41
Mg: 0.5000 0.6957 0.4233  4 Mg 3.14-3.40, 2 Tb 3.27, 2 Th 3.41
Mg: 0.5000 0.8043 0.9233  4 Mg 3.14-3.40, 2 Tb 3.27, 2 Th 3.41
Tb: 0.0000 0.8794 0.3794  3 Y 3.02-3.20, 6 Mg 3.15-3.27
Tb: 0.0000 0.6206 0.8794  3 Y 3.02-3.20, 6 Mg 3.15-3.27
Tb: 0.0000 0.1206 0.6206  3 Y 3.02-3.20, 6 Mg 3.15-3.27
Tb: 0.0000 0.3794 0.1206  3 Y 3.02-3.20, 6 Mg 3.15-3.27

# 2
A plane-wave DFT calculation with PBE was carried out for Sr2Pd5Au5 after structural relaxation.

Computed properties:
**Space group**: No. 47
**ΔE_f**: -6.0 eV/f.u.
**D(E_F)**: 4.35 states/eV per cell
**E**: -4.308 eV/atom

Cell: 4.5232 5.5931 9.7445 Å, 90.00 90.00 90.00°
Last column: nearest neighbours and their distance in Å.
Element x y z (fractional)
Au: 0.5000 0.0000 0.0000  4 Pd 2.82, 4 Au 2.83
Au: 0.0000 0.0000 0.8258  4 Pd 2.77, 2 Au 2.83
Au: 0.0000 0.5000 0.3332  6 Pd 2.77-2.78
Au: 0.0000 0.0000 0.1742  4 Pd 2.77, 2 Au 2.83
Au: 0.0000 0.5000 0.6668  6 Pd 2.77-2.78
Pd: 0.5000 0.7493 0.2514  5 Au 2.77-2.82, 3 Pd 2.79-2.80
Pd: 0.5000 0.2507 0.7486  5 Au 2.77-2.82, 3 Pd 2.79-2.80
Pd: 0.5000 0.5000 0.5000  4 Au 2.78, 4 Pd 2.80
Pd: 0.5000 0.7493 0.7486  5 Au 2.77-2.82, 3 Pd 2.79-2.80
Pd: 0.5000 0.2507 0.2514  5 Au 2.77-2.82, 3 Pd 2.79-2.80
Sr: 0.0000 0.0000 0.5000  6 Au 3.17-3.23
Sr: 0.0000 0.5000 0.0000  10 Au 3.25-3.60, 8 Pd 3.61

# 3
A plane-wave DFT calculation with PBE was carried out for CaUPd4 after structural relaxation.

Computed properties:
**Space group**: No. 216
**ΔE_f**: -2.6 eV/f.u.
**D(E_F)**: 12.12 states/eV per cell
**E**: -6.106 eV/atom

Cell: 5.4483 5.4483 5.4483 Å, 60.00 60.00 60.00°
Last column: nearest neighbours and their distance in Å.
Element x y z (fractional)
Pd: 0.1250 0.6250 0.6250  6 Pd 2.72
Pd: 0.6250 0.6250 0.6250  6 Pd 2.72
Pd: 0.6250 0.1250 0.6250  6 Pd 2.72
Pd: 0.6250 0.6250 0.1250  6 Pd 2.72
Ca: 0.2500 0.2500 0.2500  12 Pd 3.19, 4 U 3.34
U: 0.0000 0.0000 0.0000  12 Pd 3.19, 4 Ca 3.34

# 4
A plane-wave DFT calculation with PBE was carried out for K2NiPb after structural relaxation.

Computed properties:
**Space group**: No. 6
**ΔE_f**: 0.7 eV/f.u.
**D(E_F)**: 2.63 states/eV per cell
**E**: -2.751 eV/atom

Cell: 4.3894 5.5190 6.7352 Å, 65.74 90.00 90.00°
Last column: nearest neighbours and their distance in Å.
Element x y z (fractional)
Pb: 0.5000 0.5775 0.7223  2 Ni 2.53
K: 0.5000 0.2725 0.3317  3 Pb 3.65-3.74, 4 Ni 3.69-3.72
K: 0.0000 0.9744 0.9279  3 Ni 3.62-3.75, 4 Pb 3.74
Ni: 0.0000 0.6756 0.5180  2 Pb 2.53

# 5
A plane-wave DFT calculation with PBE was carried out for NaUSn2Se4 after structural relaxation.

Computed properties:
**Space group**: No. 10
**Raw formation energy**: -0.7338 eV/atom
**D(E_F)**: 7.19 states/eV per cell
**E**: -5.053 eV/atom

Cell: 4.2337 7.4954 7.2862 Å, 71.55 90.00 90.00°
Last column: nearest neighbours and their distance in Å.
Element x y z (fractional)
Na: 0.5000 0.5000 0.0000  6 Se 3.00-3.04
Se: 0.5000 0.2646 0.7348  2 U 2.93, 1 Na 3.00, 3 Sn 3.00-3.12
Se: 0.0000 0.7440 0.7401  1 U 2.90, 3 Sn 3.02-3.09, 2 Na 3.04
Se: 0.5000 0.7354 0.2652  2 U 2.93, 1 Na 3.00, 3 Sn 3.00-3.12
Se: 0.0000 0.2560 0.2599  1 U 2.90, 3 Sn 3.02-3.09, 2 Na 3.04
Sn: 0.5000 0.0000 0.5000  6 Se 3.00-3.02
Sn: 0.0000 0.0000 0.0000  6 Se 3.09-3.12
U: 0.0000 0.5000 0.5000  6 Se 2.90-2.93

# 6
A plane-wave DFT calculation with PBE was carried out for CaZrCu after structural relaxation.

Computed properties:
**Space group**: No. 216
**ΔE_f**: 1.3 eV/f.u.
**D(E_F)**: 3.51 states/eV per cell
**E**: -4.459 eV/atom
**ΔE to the lowest computed polymorph**: 385 meV/atom

Cell: 4.7044 4.7044 4.7044 Å, 60.00 60.00 60.00°
Last column: nearest neighbours and their distance in Å.
Element x y z (fractional)
Ca: 0.5000 0.5000 0.5000  4 Cu 2.88
Cu: 0.7500 0.7500 0.7500  4 Zr 2.88, 4 Ca 2.88
Zr: 0.0000 0.0000 0.0000  4 Cu 2.88

# 7
A plane-wave DFT calculation with PBE was carried out for Cs2RbAsS4 after structural relaxation.

Computed properties:
**Space group**: No. 70
**Raw formation energy**: -0.7434 eV/atom
**D(E_F)**: 0.00 states/eV per cell
**E**: -3.723 eV/atom

Cell: 7.6371 7.5399 17.3830 Å, 83.61 77.31 59.57°
Last column: nearest neighbours and their distance in Å.
Element x y z (fractional)
Cs: 0.2004 0.0000 0.5992  4 S 3.60-3.70
Cs: 0.5496 0.5000 0.9008  4 S 3.60-3.70
Cs: 0.7996 0.0000 0.4008  4 S 3.60-3.70
Cs: 0.9504 0.5000 0.0992  4 S 3.60-3.70
S: 0.9513 0.7035 0.5751  1 As 2.20
S: 0.3453 0.7035 0.4249  1 As 2.20
S: 0.4047 0.7965 0.0751  1 As 2.20
S: 0.7987 0.7965 0.9249  1 As 2.20
S: 0.2764 0.2035 0.9249  1 As 2.20
S: 0.4736 0.2965 0.5751  1 As 2.20
S: 0.2298 0.2965 0.4249  1 As 2.20
S: 0.5202 0.2035 0.0751  1 As 2.20
As: 0.2500 0.5000 0.5000  4 S 2.20
As: 0.5000 0.0000 0.0000  4 S 2.20
Rb: 0.7500 0.5000 0.5000  4 S 3.18
Rb: 0.0000 0.0000 0.0000  4 S 3.18

# 8
A plane-wave DFT calculation with PBE was carried out for Zn2CrIr after structural relaxation.

Computed properties:
**Space group**: No. 44
**ΔE_f**: 0.1 eV/f.u.
**D(E_F)**: 2.96 states/eV per cell
**E**: -5.229 eV/atom
**ΔE to the lowest computed polymorph**: 122 meV/atom

Cell: 5.0326 5.0326 5.0326 Å, 144.86 129.07 63.39°
Last column: nearest neighbours and their distance in Å.
Element x y z (fractional)
Cr: 0.4957 0.4957 0.0000  2 Ir 2.57, 6 Zn 2.64-2.67
Zn: 0.9981 0.9981 0.0000  2 Zn 2.59, 4 Cr 2.64, 2 Ir 2.66
Zn: 0.7525 0.2525 0.5000  2 Zn 2.59, 4 Ir 2.64, 2 Cr 2.67
Ir: 0.2537 0.7537 0.5000  2 Cr 2.57, 6 Zn 2.64-2.66

# 9
A plane-wave DFT calculation with PBE was carried out for Tl2IrO2 after structural relaxation.

Computed properties:
**Space group**: No. 127
**Raw formation energy**: -0.0932 eV/atom
**D(E_F)**: 8.40 states/eV per cell
**E**: -4.795 eV/atom
**ΔE to the lowest computed polymorph**: 149 meV/atom

Cell: 5.7182 5.7182 5.5435 Å, 90.00 90.00 90.00°
Last column: nearest neighbours and their distance in Å.
Element x y z (fractional)
Tl: 0.3086 0.1914 0.5000  2 O 2.81, 5 Tl 2.94-3.10
Tl: 0.6914 0.8086 0.5000  2 O 2.81, 5 Tl 2.94-3.10
Tl: 0.1914 0.6914 0.5000  2 O 2.81, 5 Tl 2.94-3.10
Tl: 0.8086 0.3086 0.5000  2 O 2.81, 5 Tl 2.94-3.10
Ir: 0.0000 0.0000 0.0000  4 O 2.02
Ir: 0.5000 0.5000 0.0000  4 O 2.02
O: 0.7529 0.2529 0.0000  2 Ir 2.02
O: 0.2471 0.7471 0.0000  2 Ir 2.02
O: 0.7471 0.7529 0.0000  2 Ir 2.02
O: 0.2529 0.2471 0.0000  2 Ir 2.02

# 10
A plane-wave DFT calculation with PBE was carried out for LuSc3C after structural relaxation.

Computed properties:
**Space group**: No. 221
**ΔE_f**: -0.6 eV/f.u.
**D(E_F)**: 6.93 states/eV per cell
**E**: -6.659 eV/atom

Cell: 4.6966 4.6966 4.6966 Å, 90.00 90.00 90.00°
Last column: nearest neighbours and their distance in Å.
Element x y z (fractional)
C: 0.0000 0.0000 0.0000  6 Sc 2.35
Lu: 0.5000 0.5000 0.5000  12 Sc 3.32
Sc: 0.0000 0.0000 0.5000  2 C 2.35
Sc: 0.0000 0.5000 0.0000  2 C 2.35
Sc: 0.5000 0.0000 0.0000  2 C 2.35

# 11
A plane-wave DFT calculation with PBE was carried out for Tb2Pr2NdDy2 after structural relaxation.

Computed properties:
**Space group**: No. 12
**ΔE_f**: 0.1 eV/f.u.
**D(E_F)**: 9.91 states/eV per cell
**E**: -4.667 eV/atom

Cell: 5.0935 9.5816 13.0882 Å, 153.06 90.00 105.41°
Last column: nearest neighbours and their distance in Å.
Element x y z (fractional)
Dy: 0.7122 0.4244 0.3542  5 Tb 3.57-3.62, 3 Pr 3.59-3.60, 3 Dy 3.60-3.62, 1 Nd 3.63
Dy: 0.2878 0.5756 0.6458  5 Tb 3.57-3.62, 3 Pr 3.59-3.60, 3 Dy 3.60-3.62, 1 Nd 3.63
Pr: 0.4324 0.8648 0.2185  3 Dy 3.59-3.60, 4 Tb 3.62-3.68, 3 Nd 3.62-3.65, 2 Pr 3.65
Pr: 0.5676 0.1352 0.7815  3 Dy 3.59-3.60, 4 Tb 3.62-3.68, 3 Nd 3.62-3.65, 2 Pr 3.65
Tb: 0.8625 0.7250 0.9344  1 Tb 3.55, 5 Dy 3.57-3.62, 4 Pr 3.62-3.68, 2 Nd 3.64
Tb: 0.1375 0.2750 0.0656  1 Tb 3.55, 5 Dy 3.57-3.62, 4 Pr 3.62-3.68, 2 Nd 3.64
Nd: 0.0000 0.0000 0.5000  6 Pr 3.62-3.65, 2 Dy 3.63, 4 Tb 3.64